Pu2Mn3Si: optimized geometry, PBE.

calculated total energy	-63.00	eV/cell
uncorrected formation energy	-0.23	eV/atom
symmetry	C2/m (12)

Cell: 5.372 5.372 4.919 Å, 90.23 122.85 119.97°
Fractional coordinates of all 6 atoms:
Pu: 0.743 0.372 0.115
Pu: 0.257 0.628 0.885
Mn: 0.500 0.500 0.500
Mn: 0.000 0.000 0.500
Mn: 0.500 0.000 0.500
Si: 0.000 0.000 0.000

=====

InIrI2O: optimized geometry, PBE.

calculated total energy	-16.40	eV/cell
uncorrected formation energy	0.65	eV/atom
ΔE to the lowest computed polymorph	0.844	eV per atom
symmetry	P4/mmm (123)

Cell: 5.928 5.928 3.861 Å, 90.00 90.00 90.00°
Fractional coordinates of all 5 atoms:
I: 0.000 0.500 0.000
I: 0.500 0.000 0.000
Ir: 0.500 0.500 0.500
O: 0.000 0.000 0.500
In: 0.000 0.000 0.000

=====

Cs4MgH5: optimized geometry, PBE.

calculated total energy	-22.78	eV/cell
symmetry	I4 (79)

Cell: 6.110 7.464 7.464 Å, 80.35 65.84 65.84°
Fractional coordinates of all 10 atoms:
Cs: 0.384 0.412 0.842
Cs: 0.795 0.842 0.588
Cs: 0.226 0.158 0.412
Cs: 0.637 0.588 0.158
Mg: 0.064 0.000 0.000
H: 0.946 0.259 0.860
H: 0.205 0.860 0.741
H: 0.807 0.140 0.259
H: 0.065 0.741 0.140
H: 0.381 0.000 0.000

=====

Zr3InHg: optimized geometry, PBE.

energy relative to the elements	-0.31	eV/f.u.
calculated total energy	-115.99	eV/cell
ΔE to the lowest computed polymorph	0.000	eV per atom
symmetry	C2/c (15)

Cell: 9.901 7.808 7.808 Å, 70.90 60.97 60.97°
Fractional coordinates of all 20 atoms:
Zr: 0.567 0.746 0.058
Zr: 0.933 0.942 0.254
Zr: 0.433 0.254 0.942
Zr: 0.067 0.058 0.746
Zr: 0.927 0.365 0.041
Zr: 0.573 0.959 0.635
Zr: 0.073 0.635 0.959
Zr: 0.427 0.041 0.365
Zr: 0.406 0.672 0.716
Zr: 0.094 0.284 0.328
Zr: 0.594 0.328 0.284
Zr: 0.906 0.716 0.672
In: 0.250 0.004 0.996
In: 0.750 0.996 0.004
In: 0.250 0.357 0.643
In: 0.750 0.643 0.357
Hg: 0.727 0.444 0.801
Hg: 0.773 0.199 0.556
Hg: 0.273 0.556 0.199
Hg: 0.227 0.801 0.444

=====

Zr4Zn2S: optimized geometry, PBE.

calculated total energy	-45.05	eV/cell
uncorrected formation energy	-0.60	eV/atom
symmetry	C2/m (12)

Cell: 3.809 5.754 6.990 Å, 76.63 74.19 70.67°
Fractional coordinates of all 7 atoms:
Zr: 0.092 0.186 0.630
Zr: 0.908 0.814 0.370
Zr: 0.323 0.271 0.083
Zr: 0.677 0.729 0.917
Zn: 0.374 0.592 0.660
Zn: 0.626 0.408 0.340
S: 0.000 0.000 0.000

=====

Ca2LaCdAu4: optimized geometry, PBE.

energy relative to the elements	-5.50	eV/f.u.
calculated total energy	-28.46	eV/cell
symmetry	R-3m (166)

Cell: 5.147 5.147 8.881 Å, 73.16 73.16 60.00°
Fractional coordinates of all 8 atoms:
Ca: 0.759 0.759 0.723
Ca: 0.241 0.241 0.277
La: 0.000 0.000 0.000
Cd: 0.500 0.500 0.500
Au: 0.377 0.377 0.869
Au: 0.880 0.880 0.361
Au: 0.120 0.120 0.639
Au: 0.623 0.623 0.131